Entry 1:
Computed, not measured: crystalline CeSi2Ag at its relaxed geometry at the GGA-PBE level of DFT.

Computed properties:
Energy relative to the elements, uncorrected ... -0.466 eV/atom
Total magnetization ... 5.210 Bohr magnetons per cell

Cell and atoms, written as CIF:
```
data_CeSi2Ag
_cell_length_a 13.726
_cell_length_b 4.194
_cell_length_c 10.917
_cell_angle_alpha 90.00
_cell_angle_beta 90.00
_cell_angle_gamma 90.00
_symmetry_space_group_name_H-M 'P n m a'
_symmetry_Int_Tables_number 62
loop_
_symmetry_equiv_pos_as_xyz
'x,y,z'
'-x,-y,-z'
'-x+1/2,-y,z+1/2'
'x+1/2,y,-z+1/2'
'x+1/2,-y+1/2,-z+1/2'
'-x+1/2,y+1/2,z+1/2'
'-x,y+1/2,-z'
'x,-y+1/2,z'
loop_
_atom_site_label
_atom_site_type_symbol
_atom_site_fract_x
_atom_site_fract_y
_atom_site_fract_z
_atom_site_occupancy
Ce1 Ce 0.053 0.250 0.238 1
Ce2 Ce 0.195 0.750 0.963 1
Si1 Si 0.027 0.250 0.963 1
Si2 Si 0.111 0.250 0.778 1
Si3 Si 0.131 0.750 0.444 1
Si4 Si 0.213 0.750 0.258 1
Ag1 Ag 0.060 0.250 0.553 1
Ag2 Ag 0.201 0.750 0.663 1
```

***

Entry 2:
Computed, not measured: crystalline CrBI2 at its relaxed geometry at the GGA-PBE level of DFT.

Computed properties:
Energy relative to the elements, uncorrected ... 1.468 eV/atom
Total magnetization ... 0.017 Bohr magnetons per cell

Cell and atoms, written as CIF:
```
data_CrBI2
_cell_length_a 5.795
_cell_length_b 5.795
_cell_length_c 11.428
_cell_angle_alpha 90.00
_cell_angle_beta 90.00
_cell_angle_gamma 90.00
_symmetry_space_group_name_H-M 'I -4 2 d'
_symmetry_Int_Tables_number 122
_symmetry_space_group_name_Hall 'I -4 2bw'
loop_
_atom_site_label
_atom_site_type_symbol
_atom_site_fract_x
_atom_site_fract_y
_atom_site_fract_z
_atom_site_occupancy
Cr1 Cr 0.000 0.000 0.000 1
B1 B 0.000 0.000 0.500 1
I1 I 0.245 0.250 0.625 1
```